# CdReRu2 (GGA-PBE, relaxed)
# Total moment ... 0.51 μB per atom
# Volume ... 252.14 Å³ per cell
# D(E_F) ... 1.284 states/eV per atom
# Calculated total energy ... -7.246 eV/atom
data_CdReRu2
_cell_length_a 6.3175
_cell_length_b 6.3175
_cell_length_c 6.3175
_cell_angle_alpha 90.00
_cell_angle_beta 90.00
_cell_angle_gamma 90.00
_space_group_name_H-M_alt 'F -4 3 m'
_space_group_IT_number 216
_space_group_name_Hall 'F -4 2 3'
loop_
_atom_site_label
_atom_site_type_symbol
_atom_site_fract_x
_atom_site_fract_y
_atom_site_fract_z
_atom_site_occupancy
Cd1 Cd 0.0000 0.0000 0.0000 1
Re1 Re 0.2500 0.2500 0.7500 1
Ru1 Ru 0.0000 0.0000 0.5000 1
Ru2 Ru 0.2500 0.2500 0.2500 1